VASP calculation (SCAN) on NaTiAl3 at its PBEsol-relaxed geometry.

Values from the calculation:
E_tot ... -8.151 eV/atom
Formation energy ... 0.549 eV/atom

Structure (CIF):
```
data_NaTiAl3
_space_group_name_H-M_alt 'P m -3 m'
_space_group_IT_number 221
_space_group_name_Hall '-P 4 2 3'
_cell_length_a 5.0331
_cell_length_b 5.0331
_cell_length_c 5.0331
_cell_angle_alpha 90.00
_cell_angle_beta 90.00
_cell_angle_gamma 90.00
loop_
_atom_site_label
_atom_site_fract_x
_atom_site_fract_y
_atom_site_fract_z
Na1 0.0000 0.0000 0.0000
Ti1 0.5000 0.5000 0.5000
Al1 0.0000 0.5000 0.5000
```